Below is U2Be3Si4Pd after structural relaxation, with properties calculated at the GGA-PBE level.

Output
Uncorrected energy (eV/f.u.): -63.79
Space group: P-4m2 (115)
Fermi-level density of states (states/eV per cell): 13.99

a = 3.9182 Å, b = 3.9182 Å, c = 9.6883 Å
α = 90.00°, β = 90.00°, γ = 90.00°
Last column: nearest neighbours and their distance in Å.
Sites, in units of the cell vectors:
U (0.0000, 0.5000, 0.2372)  6 Be 2.98-3.21, 8 Si 2.99-3.02, 2 Pd 3.21
U (0.5000, 0.0000, 0.7628)  6 Be 2.98-3.21, 8 Si 2.99-3.02, 2 Pd 3.21
Be (0.0000, 0.5000, 0.8748)  5 Si 2.20-2.30
Be (0.5000, 0.0000, 0.1252)  5 Si 2.20-2.30
Be (0.5000, 0.5000, 0.5000)  4 Si 2.42
Si (0.0000, 0.0000, 0.0000)  4 Be 2.30
Si (0.0000, 0.5000, 0.6475)  3 Be 2.20-2.42, 2 Pd 2.42
Si (0.5000, 0.0000, 0.3525)  3 Be 2.20-2.42, 2 Pd 2.42
Si (0.5000, 0.5000, 0.0000)  4 Be 2.30
Pd (0.0000, 0.0000, 0.5000)  4 Si 2.42



Below is U2Be4Si3Pd after structural relaxation, with properties calculated at the GGA-PBE level.

Output
Uncorrected energy (eV/f.u.): -61.65
Space group: P-4m2 (115)
Fermi-level density of states (states/eV per cell): 14.85

a = 3.8684 Å, b = 3.8684 Å, c = 9.5884 Å
α = 90.00°, β = 90.00°, γ = 90.00°
Last column: nearest neighbours and their distance in Å.
Sites, in units of the cell vectors:
U (0.0000, 0.5000, 0.2426)  6 Si 2.93-3.14, 8 Be 2.98-3.03, 2 Pd 3.14
U (0.5000, 0.0000, 0.7574)  6 Si 2.93-3.14, 8 Be 2.98-3.03, 2 Pd 3.14
Be (0.0000, 0.0000, 0.0000)  4 Si 2.31
Be (0.0000, 0.5000, 0.6354)  3 Si 2.23-2.33, 2 Pd 2.33
Be (0.5000, 0.0000, 0.3646)  3 Si 2.23-2.33, 2 Pd 2.33
Be (0.5000, 0.5000, 0.0000)  4 Si 2.31
Si (0.0000, 0.5000, 0.8682)  5 Be 2.23-2.31
Si (0.5000, 0.0000, 0.1318)  5 Be 2.23-2.31
Si (0.5000, 0.5000, 0.5000)  4 Be 2.33
Pd (0.0000, 0.0000, 0.5000)  4 Be 2.33



Below is YBe2SiPd after structural relaxation, with properties calculated at the GGA-PBE level.

Output
Uncorrected energy (eV/f.u.): -15.95
Space group: P4/mmm (123)
Fermi-level density of states (states/eV per cell): 3.67

a = 4.9629 Å, b = 4.9629 Å, c = 4.9899 Å
α = 90.00°, β = 90.00°, γ = 90.00°
Last column: nearest neighbours and their distance in Å.
Sites, in units of the cell vectors:
Y (0.0000, 0.0000, 0.0000)  4 Be 2.48, 2 Pd 2.49
Be (0.0000, 0.5000, 0.0000)  2 Y 2.48
Be (0.5000, 0.0000, 0.0000)  2 Y 2.48
Si (0.5000, 0.5000, 0.5000)  4 Pd 3.51, 8 Be 3.52
Pd (0.0000, 0.0000, 0.5000)  2 Y 2.49



Below is Y2BeSi4Pd3 after structural relaxation, with properties calculated at the GGA-PBE level.

Output
Uncorrected energy (eV/f.u.): -61.63
Space group: P-4m2 (115)
Fermi-level density of states (states/eV per cell): 3.46

a = 4.0005 Å, b = 4.0005 Å, c = 10.5005 Å
α = 90.00°, β = 90.00°, γ = 90.00°
Last column: nearest neighbours and their distance in Å.
Sites, in units of the cell vectors:
Y (0.0000, 0.5000, 0.2387)  8 Si 3.04-3.40, 6 Pd 3.12-3.21, 2 Be 3.21
Y (0.5000, 0.0000, 0.7613)  8 Si 3.04-3.40, 6 Pd 3.12-3.21, 2 Be 3.21
Be (0.5000, 0.5000, 0.0000)  4 Si 2.44
Si (0.0000, 0.0000, 0.5000)  4 Pd 2.45
Si (0.0000, 0.5000, 0.8676)  2 Be 2.44, 3 Pd 2.44
Si (0.5000, 0.0000, 0.1324)  2 Be 2.44, 3 Pd 2.44
Si (0.5000, 0.5000, 0.5000)  4 Pd 2.45
Pd (0.0000, 0.0000, 0.0000)  4 Si 2.44
Pd (0.0000, 0.5000, 0.6352)  5 Si 2.44-2.45
Pd (0.5000, 0.0000, 0.3648)  5 Si 2.44-2.45



Below is YBe2SiPd2 after structural relaxation, with properties calculated at the GGA-PBE level.

Output
Uncorrected energy (eV/f.u.): -31.19
Space group: P4/mmm (123)
Fermi-level density of states (states/eV per cell): 1.62

a = 4.1271 Å, b = 4.1271 Å, c = 5.6161 Å
α = 90.00°, β = 90.00°, γ = 90.00°
Last column: nearest neighbours and their distance in Å.
Sites, in units of the cell vectors:
Y (0.0000, 0.0000, 0.0000)  2 Si 2.81
Be (0.0000, 0.5000, 0.5000)  2 Si 2.06
Be (0.5000, 0.0000, 0.5000)  2 Si 2.06
Si (0.0000, 0.0000, 0.5000)  4 Be 2.06
Pd (0.5000, 0.5000, 0.2493)  4 Be 2.50
Pd (0.5000, 0.5000, 0.7507)  4 Be 2.50



Below is YBeSi2Pd after structural relaxation, with properties calculated at the GGA-PBE level.

Output
Uncorrected energy (eV/f.u.): -29.86
Space group: I-4m2 (119)
Fermi-level density of states (states/eV per cell): 0.96

a = 5.8237 Å, b = 5.8237 Å, c = 5.8237 Å
α = 140.39°, β = 140.39°, γ = 57.26°
Last column: nearest neighbours and their distance in Å.
Sites, in units of the cell vectors:
Y (0.0000, 0.0000, 0.0000)  8 Si 3.03, 4 Pd 3.23, 4 Be 3.23
Be (0.7500, 0.2500, 0.5000)  4 Si 2.41
Si (0.3847, 0.3847, 0.0000)  1 Si 2.36, 2 Be 2.41, 2 Pd 2.41
Si (0.6153, 0.6153, 0.0000)  1 Si 2.36, 2 Be 2.41, 2 Pd 2.41
Pd (0.2500, 0.7500, 0.5000)  4 Si 2.41



Below is Y2Be3Si4Pd after structural relaxation, with properties calculated at the GGA-PBE level.

Output
Uncorrected energy (eV/f.u.): -56.24
Space group: P-4m2 (115)
Fermi-level density of states (states/eV per cell): 3.12

a = 3.9297 Å, b = 3.9297 Å, c = 9.8360 Å
α = 90.00°, β = 90.00°, γ = 90.00°
Last column: nearest neighbours and their distance in Å.
Sites, in units of the cell vectors:
Y (0.0000, 0.5000, 0.2438)  6 Be 2.99-3.20, 8 Si 3.00-3.10, 2 Pd 3.20
Y (0.5000, 0.0000, 0.7562)  6 Be 2.99-3.20, 8 Si 3.00-3.10, 2 Pd 3.20
Be (0.0000, 0.5000, 0.8692)  5 Si 2.23-2.35
Be (0.5000, 0.0000, 0.1308)  5 Si 2.23-2.35
Be (0.5000, 0.5000, 0.5000)  4 Si 2.41
Si (0.0000, 0.0000, 0.0000)  4 Be 2.35
Si (0.0000, 0.5000, 0.6424)  3 Be 2.23-2.41, 2 Pd 2.41
Si (0.5000, 0.0000, 0.3576)  3 Be 2.23-2.41, 2 Pd 2.41
Si (0.5000, 0.5000, 0.0000)  4 Be 2.35
Pd (0.0000, 0.0000, 0.5000)  4 Si 2.41



Below is BeZn2Si2Pd5 after structural relaxation, with properties calculated at the GGA-PBE level.

Output
Uncorrected energy (eV/f.u.): -47.23
Space group: P4/mbm (127)
Fermi-level density of states (states/eV per cell): 6.97

a = 10.0453 Å, b = 10.0453 Å, c = 2.8402 Å
α = 90.00°, β = 90.00°, γ = 90.00°
Last column: nearest neighbours and their distance in Å.
Sites, in units of the cell vectors:
Be (0.0000, 0.0000, 0.0000)  8 Pd 2.46
Be (0.5000, 0.5000, 0.0000)  8 Pd 2.46
Zn (0.1719, 0.3281, 0.0000)  1 Si 2.54, 6 Pd 2.69-2.82, 2 Zn 2.84
Zn (0.3281, 0.8281, 0.0000)  1 Si 2.54, 6 Pd 2.69-2.82, 2 Zn 2.84
Zn (0.6719, 0.1719, 0.0000)  1 Si 2.54, 6 Pd 2.69-2.82, 2 Zn 2.84
Zn (0.8281, 0.6719, 0.0000)  1 Si 2.54, 6 Pd 2.69-2.82, 2 Zn 2.84
Si (0.1492, 0.6492, 0.0000)  6 Pd 2.47-2.55, 1 Zn 2.54
Si (0.3508, 0.1492, 0.0000)  6 Pd 2.47-2.55, 1 Zn 2.54
Si (0.6492, 0.8508, 0.0000)  6 Pd 2.47-2.55, 1 Zn 2.54
Si (0.8508, 0.3508, 0.0000)  6 Pd 2.47-2.55, 1 Zn 2.54
Pd (0.0000, 0.5000, 0.5000)  4 Si 2.55, 4 Zn 2.82, 2 Pd 2.84
Pd (0.0160, 0.8007, 0.5000)  2 Be 2.46, 2 Si 2.47, 2 Zn 2.69
Pd (0.1993, 0.0160, 0.5000)  2 Be 2.46, 2 Si 2.47, 2 Zn 2.69
Pd (0.3007, 0.5160, 0.5000)  2 Be 2.46, 2 Si 2.47, 2 Zn 2.69
Pd (0.4840, 0.3007, 0.5000)  2 Be 2.46, 2 Si 2.47, 2 Zn 2.69
Pd (0.5000, 0.0000, 0.5000)  4 Si 2.55, 4 Zn 2.82, 2 Pd 2.84
Pd (0.5160, 0.6993, 0.5000)  2 Be 2.46, 2 Si 2.47, 2 Zn 2.69
Pd (0.6993, 0.4840, 0.5000)  2 Be 2.46, 2 Si 2.47, 2 Zn 2.69
Pd (0.8007, 0.9840, 0.5000)  2 Be 2.46, 2 Si 2.47, 2 Zn 2.69
Pd (0.9840, 0.1993, 0.5000)  2 Be 2.46, 2 Si 2.47, 2 Zn 2.69



Below is SmBe4Pd12 after structural relaxation, with properties calculated at the GGA-PBE level.

Output
DFT formation energy (eV/atom): -0.286
Space group: Im-3 (204)
Fermi-level density of states (states/eV per cell): 6.23

a = 6.9696 Å, b = 6.9696 Å, c = 6.9696 Å
α = 109.47°, β = 109.47°, γ = 109.47°
Last column: nearest neighbours and their distance in Å.
Sites, in units of the cell vectors:
Sm (0.0000, 0.0000, 0.0000)  12 Pd 2.98
Be (0.0000, 0.0000, 0.5000)  6 Pd 2.21
Be (0.0000, 0.5000, 0.0000)  6 Pd 2.21
Be (0.5000, 0.0000, 0.0000)  6 Pd 2.21
Be (0.5000, 0.5000, 0.5000)  6 Pd 2.21
Pd (0.1598, 0.3296, 0.8302)  2 Be 2.21
Pd (0.1698, 0.4995, 0.3296)  2 Be 2.21
Pd (0.1698, 0.8402, 0.6704)  2 Be 2.21
Pd (0.3296, 0.1698, 0.4995)  2 Be 2.21
Pd (0.3296, 0.8302, 0.1598)  2 Be 2.21
Pd (0.4995, 0.3296, 0.1698)  2 Be 2.21
Pd (0.5005, 0.6704, 0.8302)  2 Be 2.21
Pd (0.6704, 0.1698, 0.8402)  2 Be 2.21
Pd (0.6704, 0.8302, 0.5005)  2 Be 2.21
Pd (0.8302, 0.1598, 0.3296)  2 Be 2.21
Pd (0.8302, 0.5005, 0.6704)  2 Be 2.21
Pd (0.8402, 0.6704, 0.1698)  2 Be 2.21



Below is Sm3Be2Pd5 after structural relaxation, with properties calculated at the GGA-PBE level.

Output
DFT formation energy (eV/atom): -0.716
Space group: P4/mbm (127)
Fermi-level density of states (states/eV per cell): 9.76

a = 10.0369 Å, b = 10.0369 Å, c = 3.6252 Å
α = 90.00°, β = 90.00°, γ = 90.00°
Last column: nearest neighbours and their distance in Å.
Sites, in units of the cell vectors:
Sm (0.0000, 0.0000, 0.0000)  8 Pd 3.01
Sm (0.1784, 0.3216, 0.0000)  3 Be 2.95-3.00, 10 Pd 3.11-3.22
Sm (0.3216, 0.8216, 0.0000)  3 Be 2.95-3.00, 10 Pd 3.11-3.22
Sm (0.5000, 0.5000, 0.0000)  8 Pd 3.01
Sm (0.6784, 0.1784, 0.0000)  3 Be 2.95-3.00, 10 Pd 3.11-3.22
Sm (0.8216, 0.6784, 0.0000)  3 Be 2.95-3.00, 10 Pd 3.11-3.22
Be (0.1137, 0.6137, 0.0000)  6 Pd 2.43-2.44
Be (0.3863, 0.1137, 0.0000)  6 Pd 2.43-2.44
Be (0.6137, 0.8863, 0.0000)  6 Pd 2.43-2.44
Be (0.8863, 0.3863, 0.0000)  6 Pd 2.43-2.44
Pd (0.0000, 0.5000, 0.5000)  4 Be 2.43
Pd (0.0700, 0.7711, 0.5000)  2 Be 2.44
Pd (0.2289, 0.0700, 0.5000)  2 Be 2.44
Pd (0.2711, 0.5700, 0.5000)  2 Be 2.44
Pd (0.4300, 0.2711, 0.5000)  2 Be 2.44
Pd (0.5000, 0.0000, 0.5000)  4 Be 2.43
Pd (0.5700, 0.7289, 0.5000)  2 Be 2.44
Pd (0.7289, 0.4300, 0.5000)  2 Be 2.44
Pd (0.7711, 0.9300, 0.5000)  2 Be 2.44
Pd (0.9300, 0.2289, 0.5000)  2 Be 2.44



Below is Sm2BePd after structural relaxation, with properties calculated at the GGA-PBE level.

Output
DFT formation energy (eV/atom): -0.271
Space group: Fm-3m (225)
Fermi-level density of states (states/eV per cell): 2.37

a = 5.0249 Å, b = 5.0249 Å, c = 5.0249 Å
α = 60.00°, β = 60.00°, γ = 60.00°
Last column: nearest neighbours and their distance in Å.
Sites, in units of the cell vectors:
Sm (0.2500, 0.2500, 0.2500)  4 Be 3.08, 4 Pd 3.08
Sm (0.7500, 0.7500, 0.7500)  4 Be 3.08, 4 Pd 3.08
Be (0.0000, 0.0000, 0.0000)  8 Sm 3.08
Pd (0.5000, 0.5000, 0.5000)  8 Sm 3.08



Below is SmBe2Pd after structural relaxation, with properties calculated at the GGA-PBE level.

Output
DFT formation energy (eV/atom): -0.363
Space group: R-3m (166)
Fermi-level density of states (states/eV per cell): 3.42

a = 5.4649 Å, b = 5.4649 Å, c = 5.4649 Å
α = 42.38°, β = 42.38°, γ = 42.38°
Last column: nearest neighbours and their distance in Å.
Sites, in units of the cell vectors:
Sm (0.0000, 0.0000, 0.0000)  8 Be 2.88-3.09
Be (0.1933, 0.1933, 0.1933)  3 Pd 2.32, 3 Be 2.42
Be (0.8067, 0.8067, 0.8067)  3 Pd 2.32, 3 Be 2.42
Pd (0.5000, 0.5000, 0.5000)  6 Be 2.32